The following is a DFT calculation (PBE) of a geometry-optimized Zr2Ag2Pb structure.

abc: 4.2266 4.2266 7.3527
angles: 73.30 73.30 90.00
Fractional coordinates of all 5 atoms:
Ag  0.5995  0.5995  0.8010
Ag  0.4005  0.4005  0.1990
Zr  0.7500  0.2500  0.5000
Zr  0.2500  0.7500  0.5000
Pb  0.0000  0.0000  0.0000

Properties
**Formation enthalpy at 0 K**: 0.247 eV per atom
**Energy relative to the lowest polymorph listed for this composition**: 209.0 meV per atom
**Magnetic moment**: 0.00 μB per cell